The following is a GGA-PBE calculation of a relaxed CeSb2H crystal, from the Alexandria database.

Its electronic total energy is -4.822 eV/atom. Its offset from the most stable computed form is 0.0 meV per atom.

It has space group P1 (No. 1), with a = 4.109 Å, b = 4.170 Å, c = 5.741 Å, α = 108.77°, β = 110.95° and γ = 90.02°. The inequivalent atoms are Ce at (0.000, 0.000, 0.000), Sb at (0.344, 0.373, 0.690), Sb at (0.674, 0.603, 0.348) and H at (0.088, 0.578, 0.178).


The following is a GGA-PBE calculation of a relaxed Ce4Sb3H crystal, from the Alexandria database.

Its electronic total energy is -5.639 eV/atom.

It has space group Pmn2_1 (No. 31), with a = 12.383 Å, b = 6.302 Å, c = 6.299 Å, α = 90.00°, β = 90.00° and γ = 90.00°. The inequivalent atoms are Ce at (0.000, 0.188, 0.000), Ce at (0.000, 0.750, 0.559), Ce at (0.246, 0.755, 0.004), Sb at (0.000, 0.250, 0.500), Sb at (0.250, 0.255, 0.004) and H at (0.000, 0.815, 0.933).


The following is a GGA-PBE calculation of a relaxed Ce7Sb3H2 crystal, from the Alexandria database.

Its electronic total energy is -5.688 eV/atom. Its offset from the most stable computed form is 30.0 meV per atom.

It has space group Cmmm (No. 65), with a = 4.810 Å, b = 25.456 Å, c = 4.579 Å, α = 90.00°, β = 90.00° and γ = 90.00°. The inequivalent atoms are Ce at (0.000, 0.000, 0.000), Ce at (0.000, 0.096, 0.500), Ce at (0.000, 0.205, 0.000), Ce at (0.000, 0.404, 0.000), Sb at (0.000, 0.311, 0.500), Sb at (0.000, 0.500, 0.500) and H at (0.000, 0.106, 0.000).